Density functional theory data (GGA-PBE) for crystalline SrLiSi at its relaxed geometry.

Output
- Symmetry: P1, No. 1
- DFT total energy: -3.27 eV per atom

```
6
Lattice="-1.0372 3.4686 4.7781 0.8479 -3.7482 4.4194 3.7842 2.4663 1.3841" Properties=species:S:1:pos:R:3 pbc="T T T"
Si 3.5397 1.9787 3.3700
Si 3.1697 0.3407 7.4003
Sr 1.9843 2.9049 6.0292
Sr -0.0984 0.4165 8.1349
Li 1.4603 -0.0769 4.6992
Li 1.0397 1.7996 2.4876
```